a:
Material: CoMo3N
Method: DFT, PBE-GGA
State: optimized geometry

Unit cell a=10.0852 b=2.9519 c=8.7634 alpha=90.00 beta=101.72 gamma=90.00
Closest atoms and distances in Å follow each position.
Space group C2/m (No. 12)
Asymmetric unit:
Co  0.0319  0.0000  0.3771 (multiplicity 4)  1 Co 2.37, 7 Mo 2.53-2.64
Mo  0.1129  0.0000  0.9105 (multiplicity 4)  2 N 2.11
Mo  0.1245  0.5000  0.1885 (multiplicity 4)  2 N 2.09
Mo  0.1758  0.5000  0.5857 (multiplicity 4)  1 N 2.12
N  0.2333  0.5000  0.8320 (multiplicity 4)  5 Mo 2.09-2.12


b:
Material: CoMo3N
Method: DFT, PBE-GGA
State: optimized geometry

Unit cell a=4.4117 b=4.4117 c=4.4117 alpha=90.00 beta=90.00 gamma=90.00
Closest atoms and distances in Å follow each position.
Space group Pm-3m (No. 221)
Asymmetric unit:
Co  0.0000  0.0000  0.0000 (multiplicity 1)  6 Mo 2.21
Mo  0.0000  0.0000  0.5000 (multiplicity 3)  2 Co 2.21
N  0.5000  0.5000  0.5000 (multiplicity 1)  12 Mo 3.12


c:
Material: CoMo3N
Method: DFT, PBE-GGA
State: optimized geometry

Unit cell a=4.0614 b=4.0614 c=4.0614 alpha=90.00 beta=90.00 gamma=90.00
Closest atoms and distances in Å follow each position.
Space group Pm-3m (No. 221)
Asymmetric unit:
Co  0.0000  0.0000  0.0000 (multiplicity 1)  12 Mo 2.87
Mo  0.0000  0.5000  0.5000 (multiplicity 3)  2 N 2.03
N  0.5000  0.5000  0.5000 (multiplicity 1)  6 Mo 2.03


a wins, 73 meV/atom ahead of the next structure.


a:
Material: CoMoSN2
Method: DFT, PBE-GGA
State: optimized geometry

Unit cell a=3.8381 b=3.8381 c=5.0907 alpha=90.00 beta=90.00 gamma=90.00
Closest atoms and distances in Å follow each position.
Space group P4/mmm (No. 123)
Asymmetric unit:
Co  0.0000  0.0000  0.0000 (multiplicity 1)  4 S 2.71
Mo  0.5000  0.5000  0.5000 (multiplicity 1)  4 N 1.92
S  0.5000  0.5000  0.0000 (multiplicity 1)  2 Mo 2.55, 4 Co 2.71
N  0.0000  0.5000  0.5000 (multiplicity 2)  2 Mo 1.92


b:
Material: CoMoSN2
Method: DFT, PBE-GGA
State: optimized geometry

Unit cell a=3.6652 b=3.6652 c=4.4464 alpha=90.00 beta=90.00 gamma=90.00
Closest atoms and distances in Å follow each position.
Space group P4/mmm (No. 123)
Asymmetric unit:
Co  0.0000  0.0000  0.0000 (multiplicity 1)  4 N 1.83
Mo  0.5000  0.5000  0.5000 (multiplicity 1)  4 S 2.59, 8 N 2.88
S  0.0000  0.0000  0.5000 (multiplicity 1)  2 Co 2.22
N  0.0000  0.5000  0.0000 (multiplicity 2)  2 Co 1.83


a wins, 365 meV/atom ahead of the next structure.


a:
Material: CoMoSeN2
Method: DFT, PBE-GGA
State: optimized geometry

Unit cell a=3.7244 b=3.7244 c=4.7303 alpha=90.00 beta=90.00 gamma=90.00
Closest atoms and distances in Å follow each position.
Space group P4/mmm (No. 123)
Asymmetric unit:
Co  0.0000  0.0000  0.0000 (multiplicity 1)  4 N 1.86
Mo  0.5000  0.5000  0.5000 (multiplicity 1)  4 Se 2.63
Se  0.0000  0.0000  0.5000 (multiplicity 1)  2 Co 2.37, 4 Mo 2.63
N  0.0000  0.5000  0.0000 (multiplicity 2)  2 Co 1.86


b:
Material: CoMoSeN2
Method: DFT, PBE-GGA
State: optimized geometry

Unit cell a=3.8473 b=3.8473 c=5.3971 alpha=90.00 beta=90.00 gamma=90.00
Closest atoms and distances in Å follow each position.
Space group P4/mmm (No. 123)
Asymmetric unit:
Co  0.0000  0.0000  0.0000 (multiplicity 1)  4 Se 2.72
Mo  0.5000  0.5000  0.5000 (multiplicity 1)  4 N 1.92
Se  0.5000  0.5000  0.0000 (multiplicity 1)  2 Mo 2.70, 4 Co 2.72
N  0.0000  0.5000  0.5000 (multiplicity 2)  2 Mo 1.92


b wins, 493 meV/atom ahead of the next structure.


a:
Material: Co2SnMoN
Method: DFT, PBE-GGA
State: optimized geometry

Unit cell a=3.9184 b=3.9184 c=4.1117 alpha=90.00 beta=90.00 gamma=90.00
Closest atoms and distances in Å follow each position.
Space group P4/mmm (No. 123)
Asymmetric unit:
Co  0.0000  0.5000  0.0000 (multiplicity 2)  2 N 1.96
Sn  0.0000  0.0000  0.5000 (multiplicity 1)  4 Mo 2.77, 8 Co 2.84
Mo  0.5000  0.5000  0.5000 (multiplicity 1)  2 N 2.06
N  0.5000  0.5000  0.0000 (multiplicity 1)  4 Co 1.96, 2 Mo 2.06


b:
Material: Co2SnMoN
Method: DFT, PBE-GGA
State: optimized geometry

Unit cell a=3.7791 b=3.7791 c=4.7422 alpha=90.00 beta=90.00 gamma=90.00
Closest atoms and distances in Å follow each position.
Space group P4/mmm (No. 123)
Asymmetric unit:
Co  0.0000  0.5000  0.0000 (multiplicity 2)  2 N 1.89
Sn  0.0000  0.0000  0.5000 (multiplicity 1)  2 N 2.37
Mo  0.5000  0.5000  0.5000 (multiplicity 1)  4 Sn 2.67
N  0.0000  0.0000  0.0000 (multiplicity 1)  4 Co 1.89


a wins, 514 meV/atom ahead of the next structure.


a:
Material: Na2CoMo
Method: DFT, PBE-GGA
State: optimized geometry

Unit cell a=6.8591 b=6.8591 c=6.8591 alpha=90.00 beta=90.00 gamma=90.00
Closest atoms and distances in Å follow each position.
Space group Fm-3m (No. 225)
Asymmetric unit:
Na  0.2500  0.2500  0.2500 (multiplicity 8)  4 Mo 2.97, 4 Co 2.97
Co  0.0000  0.0000  0.0000 (multiplicity 4)  8 Na 2.97
Mo  0.0000  0.0000  0.5000 (multiplicity 4)  8 Na 2.97


b:
Material: Na2CoMo
Method: DFT, PBE-GGA
State: optimized geometry

Unit cell a=10.1732 b=10.1732 c=4.3708 alpha=90.00 beta=90.00 gamma=90.00
Closest atoms and distances in Å follow each position.
Space group I-42d (No. 122)
Asymmetric unit:
Na  0.1148  0.2500  0.1250 (multiplicity 8)  2 Co 2.85
Co  0.0000  0.0000  0.0000 (multiplicity 4)  2 Mo 2.19
Mo  0.0000  0.0000  0.5000 (multiplicity 4)  2 Co 2.19


b wins, 216 meV/atom ahead of the next structure.


a:
Material: NaCo2Mo
Method: DFT, PBE-GGA
State: optimized geometry

Unit cell a=6.7191 b=6.7191 c=5.5562 alpha=90.00 beta=90.00 gamma=90.00
Closest atoms and distances in Å follow each position.
Space group I-42d (No. 122)
Asymmetric unit:
Na  0.0000  0.0000  0.0000 (multiplicity 4)  4 Co 2.68, 2 Mo 2.78
Co  0.2079  0.7500  0.6250 (multiplicity 8)  2 Mo 2.29
Mo  0.0000  0.0000  0.5000 (multiplicity 4)  4 Co 2.29


b:
Material: NaCo2Mo
Method: DFT, PBE-GGA
State: optimized geometry

Unit cell a=6.0079 b=6.0079 c=6.0079 alpha=90.00 beta=90.00 gamma=90.00
Closest atoms and distances in Å follow each position.
Space group Fm-3m (No. 225)
Asymmetric unit:
Na  0.0000  0.0000  0.0000 (multiplicity 4)  8 Co 2.60
Co  0.2500  0.2500  0.2500 (multiplicity 8)  4 Mo 2.60, 4 Na 2.60
Mo  0.0000  0.0000  0.5000 (multiplicity 4)  8 Co 2.60


b wins, 242 meV/atom ahead of the next structure.


a:
Material: Nb3CoMo
Method: DFT, PBE-GGA
State: optimized geometry

Unit cell a=4.5528 b=4.5528 c=4.5528 alpha=90.00 beta=90.00 gamma=90.00
Closest atoms and distances in Å follow each position.
Space group Pm-3m (No. 221)
Asymmetric unit:
Nb  0.0000  0.0000  0.5000 (multiplicity 3)  2 Co 2.28
Co  0.0000  0.0000  0.0000 (multiplicity 1)  6 Nb 2.28
Mo  0.5000  0.5000  0.5000 (multiplicity 1)  12 Nb 3.22


b:
Material: Nb3CoMo
Method: DFT, PBE-GGA
State: optimized geometry

Unit cell a=4.7690 b=4.7690 c=4.7690 alpha=90.00 beta=90.00 gamma=90.00
Closest atoms and distances in Å follow each position.
Space group Pm-3m (No. 221)
Asymmetric unit:
Nb  0.0000  0.0000  0.5000 (multiplicity 3)  2 Mo 2.38
Co  0.5000  0.5000  0.5000 (multiplicity 1)  12 Nb 3.37
Mo  0.0000  0.0000  0.0000 (multiplicity 1)  6 Nb 2.38


a wins, 743 meV/atom ahead of the next structure.


a:
Material: NbCo2Mo2
Method: DFT, PBE-GGA
State: optimized geometry

Unit cell a=3.7243 b=3.7243 c=10.7970 alpha=90.00 beta=90.00 gamma=90.00
Closest atoms and distances in Å follow each position.
Space group I4/mmm (No. 139)
Asymmetric unit:
Nb  0.0000  0.0000  0.0000 (multiplicity 2)  8 Co 2.84
Co  0.0000  0.0000  0.4014 (multiplicity 4)  1 Co 2.13
Mo  0.0000  0.5000  0.2500 (multiplicity 4)  4 Co 2.48, 4 Mo 2.63


b:
Material: NbCo2Mo2
Method: DFT, PBE-GGA
State: optimized geometry

Unit cell a=7.2843 b=7.2843 c=2.6850 alpha=90.00 beta=90.00 gamma=90.00
Closest atoms and distances in Å follow each position.
Space group P4/mbm (No. 127)
Asymmetric unit:
Nb  0.0000  0.0000  0.0000 (multiplicity 2)  2 Nb 2.69, 4 Co 2.89
Co  0.1222  0.3778  0.0000 (multiplicity 4)  6 Mo 2.51-2.55, 3 Co 2.52-2.69
Mo  0.1718  0.6718  0.5000 (multiplicity 4)  6 Co 2.51-2.55, 2 Mo 2.69


c:
Material: NbCo2Mo2
Method: DFT, PBE-GGA
State: optimized geometry

Unit cell a=7.3479 b=7.3479 c=2.6618 alpha=90.00 beta=90.00 gamma=90.00
Closest atoms and distances in Å follow each position.
Space group P4/mbm (No. 127)
Asymmetric unit:
Nb  0.0000  0.0000  0.0000 (multiplicity 2)  2 Nb 2.66, 4 Mo 2.90
Co  0.1733  0.3267  0.5000 (multiplicity 4)  6 Mo 2.48-2.59, 2 Co 2.66
Mo  0.1254  0.6254  0.0000 (multiplicity 4)  6 Co 2.48-2.59, 3 Mo 2.61-2.66


b wins, 102 meV/atom ahead of the next structure.


a:
Material: NbCo4Mo
Method: DFT, PBE-GGA
State: optimized geometry

Unit cell a=6.6883 b=6.6883 c=6.6883 alpha=90.00 beta=90.00 gamma=90.00
Closest atoms and distances in Å follow each position.
Space group F-43m (No. 216)
Asymmetric unit:
Nb  0.0000  0.0000  0.0000 (multiplicity 4)  12 Co 2.77, 4 Mo 2.90
Co  0.1246  0.1246  0.6246 (multiplicity 16)  6 Co 2.36-2.37
Mo  0.2500  0.2500  0.2500 (multiplicity 4)  12 Co 2.77, 4 Nb 2.90


b:
Material: NbCo4Mo
Method: DFT, PBE-GGA
State: optimized geometry

Unit cell a=7.1382 b=3.5791 c=6.1816 alpha=90.00 beta=90.00 gamma=90.00
Closest atoms and distances in Å follow each position.
Space group Pmma (No. 51)
Asymmetric unit:
Nb  0.2500  0.0000  0.1731 (multiplicity 2)  8 Co 2.55-2.70, 1 Mo 2.58
Co  0.0000  0.0000  0.5000 (multiplicity 2)  2 Mo 2.38, 8 Co 2.54-2.61
Co  0.0257  0.5000  0.8054 (multiplicity 4)  2 Mo 2.42, 5 Co 2.43-2.64, 2 Nb 2.66
Co  0.2500  0.5000  0.4658 (multiplicity 2)  2 Mo 2.53, 8 Co 2.54-2.64, 2 Nb 2.55
Mo  0.2500  0.0000  0.7557 (multiplicity 2)  8 Co 2.38-2.53, 1 Nb 2.58


a wins, 303 meV/atom ahead of the next structure.


a:
Material: CoNi3Mo
Method: DFT, PBE-GGA
State: optimized geometry

Unit cell a=4.2111 b=4.2111 c=4.2111 alpha=90.00 beta=90.00 gamma=90.00
Closest atoms and distances in Å follow each position.
Space group Pm-3m (No. 221)
Asymmetric unit:
Co  0.0000  0.0000  0.0000 (multiplicity 1)  6 Ni 2.11
Ni  0.0000  0.0000  0.5000 (multiplicity 3)  2 Co 2.11
Mo  0.5000  0.5000  0.5000 (multiplicity 1)  12 Ni 2.98


b:
Material: CoNi3Mo
Method: DFT, PBE-GGA
State: optimized geometry

Unit cell a=4.3432 b=4.6710 c=6.0152 alpha=90.00 beta=97.22 gamma=90.00
Closest atoms and distances in Å follow each position.
Space group P2_1/m (No. 11)
Asymmetric unit:
Co  0.0828  0.2500  0.0714 (multiplicity 2)  7 Ni 2.43-2.60, 1 Mo 2.44, 2 Co 2.56
Ni  0.3279  0.2500  0.4567 (multiplicity 2)  4 Ni 2.42-2.44, 1 Co 2.43, 4 Mo 2.51-2.58
Ni  0.3858  0.5037  0.8101 (multiplicity 4)  5 Ni 2.30-2.44, 2 Co 2.47-2.52, 1 Mo 2.57
Mo  0.1282  0.7500  0.3250 (multiplicity 2)  1 Co 2.44, 8 Ni 2.51-2.64


c:
Material: CoNi3Mo
Method: DFT, PBE-GGA
State: optimized geometry

Unit cell a=8.0693 b=3.5724 c=5.7006 alpha=90.00 beta=134.52 gamma=90.00
Closest atoms and distances in Å follow each position.
Space group Cm (No. 8)
Asymmetric unit:
Co  0.0000  0.0000  0.0000 (multiplicity 2)  3 Mo 2.53-2.57, 9 Ni 2.54-2.56
Ni  0.1998  0.0000  0.5955 (multiplicity 2)  6 Ni 2.51-2.59, 3 Co 2.54-2.56, 3 Mo 2.55-2.56
Ni  0.2967  0.5000  0.3983 (multiplicity 2)  6 Ni 2.51-2.59, 3 Co 2.54-2.56, 3 Mo 2.55-2.57
Ni  0.4006  0.0000  0.2007 (multiplicity 2)  3 Co 2.54-2.56, 6 Ni 2.54-2.59, 3 Mo 2.55-2.57
Mo  0.1001  0.5000  0.8022 (multiplicity 2)  3 Co 2.53-2.57, 9 Ni 2.55-2.57


c wins, 164 meV/atom ahead of the next structure.


a:
Material: CoNiMo2
Method: DFT, PBE-GGA
State: optimized geometry

Unit cell a=2.6834 b=2.6834 c=26.2447 alpha=90.00 beta=90.00 gamma=120.00
Closest atoms and distances in Å follow each position.
Space group R3m (No. 160, hexagonal axes)
Asymmetric unit:
Co  0.0000  0.0000  0.0000 (multiplicity 3)  3 Ni 2.54, 3 Mo 2.60, 6 Co 2.68
Ni  0.0000  0.0000  0.7432 (multiplicity 3)  3 Co 2.54, 3 Mo 2.64, 6 Ni 2.68
Mo  0.0000  0.0000  0.2539 (multiplicity 3)  3 Co 2.60, 6 Mo 2.68
Mo  0.0000  0.0000  0.4914 (multiplicity 3)  3 Ni 2.64, 9 Mo 2.68-2.95


b:
Material: CoNiMo2
Method: DFT, PBE-GGA
State: optimized geometry

Unit cell a=3.1273 b=3.1273 c=5.4744 alpha=90.00 beta=90.00 gamma=90.00
Closest atoms and distances in Å follow each position.
Space group P4mm (No. 99)
Asymmetric unit:
Co  0.0000  0.0000  0.0000 (multiplicity 1)  4 Ni 2.55, 5 Mo 2.56-2.57
Ni  0.5000  0.5000  0.7676 (multiplicity 1)  4 Co 2.55, 5 Mo 2.56-2.57
Mo  0.0000  0.0000  0.5308 (multiplicity 1)  4 Ni 2.56, 1 Co 2.57, 4 Mo 2.73
Mo  0.5000  0.5000  0.2371 (multiplicity 1)  4 Co 2.56, 1 Ni 2.57, 4 Mo 2.73


c:
Material: CoNiMo2
Method: DFT, PBE-GGA
State: optimized geometry

Unit cell a=3.7525 b=3.7525 c=3.7459 alpha=90.00 beta=90.00 gamma=90.00
Closest atoms and distances in Å follow each position.
Space group P4/mmm (No. 123)
Asymmetric unit:
Co  0.0000  0.0000  0.0000 (multiplicity 1)  8 Mo 2.65, 4 Ni 2.65
Ni  0.5000  0.5000  0.0000 (multiplicity 1)  8 Mo 2.65, 4 Co 2.65
Mo  0.0000  0.5000  0.5000 (multiplicity 2)  4 Co 2.65, 4 Ni 2.65, 4 Mo 2.65


c wins, 90 meV/atom ahead of the next structure.